Below is a geometry-optimized V4SnW structure, with properties calculated at the PBE level.

```
V4SnW
1.0
2.659 -0.044 -0.883
-0.079 7.636 0.030
-1.307 0.042 4.953
Sn W V
1 1 4
Direct
0.500 0.500 0.500
0.000 0.000 0.000
0.358 0.315 0.000
0.172 0.156 0.500
0.828 0.844 0.500
0.642 0.685 0.000
```

Values from the calculation:
- offset from the most stable computed form (eV/atom) = 0.0000
- volume (Å³ per cell) = 91.7
- crystal system = monoclinic
- E_form (meV per atom) = 35

Below is a geometry-optimized V2SnW structure, with properties calculated at the PBE level.

```
V2SnW
1.0
7.244 0.000 0.000
0.000 7.244 0.000
3.622 3.622 2.729
Sn V W
2 4 2
Direct
0.500 0.500 0.000
0.250 0.750 0.500
0.665 0.125 0.250
0.375 0.335 0.750
0.085 0.625 0.250
0.875 0.915 0.750
0.000 0.000 0.000
0.750 0.250 0.500
```

Values from the calculation:
- volume (Å³ per cell) = 143.2
- crystal system = tetragonal
- E_form (meV per atom) = 750

Below is a geometry-optimized V2SnW structure, with properties calculated at the PBE level.

```
V2SnW
1.0
3.307 0.000 0.000
0.000 3.307 0.000
0.000 0.000 5.867
W V Sn
1 2 1
Direct
0.500 0.500 0.000
0.000 0.000 0.224
0.000 0.000 0.776
0.500 0.500 0.500
```

Values from the calculation:
- volume (Å³ per cell) = 64.1
- crystal system = tetragonal
- E_form (meV per atom) = 30

Below is a geometry-optimized VSnW2 structure, with properties calculated at the PBE level.

```
VSnW2
1.0
-3.348 -1.728 0.726
1.334 -1.153 3.408
-4.396 6.865 6.203
V Sn W
2 2 4
Direct
0.500 0.500 0.000
0.250 0.750 0.500
0.000 0.000 0.000
0.750 0.250 0.500
0.620 0.125 0.250
0.875 0.870 0.750
0.375 0.380 0.750
0.130 0.625 0.250
```

Values from the calculation:
- volume (Å³ per cell) = 145.4
- crystal system = tetragonal
- E_form (meV per atom) = 861

Below is a geometry-optimized V2SnW2 structure, with properties calculated at the PBE level.

```
V2SnW2
1.0
4.081 0.000 0.000
0.000 4.081 0.000
2.041 2.041 5.479
V W Sn
2 2 1
Direct
0.750 0.250 0.500
0.250 0.750 0.500
0.615 0.615 0.770
0.385 0.385 0.230
0.000 0.000 0.000
```

Values from the calculation:
- offset from the most stable computed form (eV/atom) = 0.2770
- volume (Å³ per cell) = 91.3
- crystal system = tetragonal
- E_form (meV per atom) = 776

Below is a geometry-optimized VSnW3 structure, with properties calculated at the PBE level.

```
VSnW3
1.0
4.857 0.000 0.000
0.000 4.857 0.000
0.000 0.000 4.857
W V Sn
3 1 1
Direct
0.000 0.500 0.000
0.500 0.000 0.000
0.000 0.000 0.500
0.500 0.500 0.500
0.000 0.000 0.000
```

Values from the calculation:
- offset from the most stable computed form (eV/atom) = 1.2549
- volume (Å³ per cell) = 114.6
- crystal system = cubic
- E_form (meV per atom) = 2798

Below is a geometry-optimized VSnW3 structure, with properties calculated at the PBE level.

```
VSnW3
1.0
4.596 0.000 0.000
0.000 4.596 0.000
0.000 0.000 4.596
V W Sn
1 3 1
Direct
0.000 0.000 0.000
0.000 0.000 0.500
0.000 0.500 0.000
0.500 0.000 0.000
0.500 0.500 0.500
```

Values from the calculation:
- offset from the most stable computed form (eV/atom) = 0.0000
- volume (Å³ per cell) = 97.1
- crystal system = cubic
- E_form (meV per atom) = 1543

Below is a geometry-optimized YV2Sn2 structure, with properties calculated at the PBE level.

```
YV2Sn2
1.0
4.721 0.000 0.000
0.000 4.721 0.000
2.361 2.361 4.856
V Sn Y
2 2 1
Direct
0.405 0.405 0.191
0.595 0.595 0.809
0.750 0.250 0.500
0.250 0.750 0.500
0.000 0.000 0.000
```

Values from the calculation:
- offset from the most stable computed form (eV/atom) = 0.1212
- volume (Å³ per cell) = 108.2
- crystal system = tetragonal
- E_form (meV per atom) = -36

Below is a geometry-optimized YV3Sn structure, with properties calculated at the PBE level.

```
YV3Sn
1.0
-0.716 0.424 -4.976
4.689 -1.674 -0.817
-1.720 -4.741 -0.156
Y V Sn
1 3 1
Direct
0.500 0.500 0.500
0.500 0.000 0.000
0.000 0.000 0.500
0.000 0.500 0.000
0.000 0.000 0.000
```

Values from the calculation:
- offset from the most stable computed form (eV/atom) = 0.0000
- volume (Å³ per cell) = 128.4
- crystal system = cubic
- E_form (meV per atom) = 1142

Below is a geometry-optimized Y3VSn structure, with properties calculated at the PBE level.

```
Y3VSn
1.0
5.223 0.000 0.000
0.000 5.223 0.000
0.000 0.000 5.223
Y V Sn
3 1 1
Direct
0.500 0.000 0.000
0.000 0.000 0.500
0.000 0.500 0.000
0.000 0.000 0.000
0.500 0.500 0.500
```

Values from the calculation:
- offset from the most stable computed form (eV/atom) = 0.0000
- volume (Å³ per cell) = 142.5
- crystal system = cubic
- E_form (meV per atom) = 290

Below is a geometry-optimized YV3Sn structure, with properties calculated at the PBE level.

```
YV3Sn
1.0
-4.241 -1.135 1.639
-1.077 -1.938 -4.128
1.678 -4.113 1.493
Sn V Y
1 3 1
Direct
0.500 0.500 0.500
0.000 0.000 0.500
0.500 0.000 0.000
0.000 0.500 0.000
0.000 0.000 0.000
```

Values from the calculation:
- offset from the most stable computed form (eV/atom) = 0.6548
- volume (Å³ per cell) = 102.9
- crystal system = cubic
- E_form (meV per atom) = 1796

Below is a geometry-optimized Y2V2Sn structure, with properties calculated at the PBE level.

```
Y2V2Sn
1.0
-3.769 -4.296 -4.256
4.875 0.809 -5.134
2.235 -3.515 1.568
V Y Sn
4 4 2
Direct
0.404 0.904 0.000
0.096 0.404 0.000
0.596 0.096 0.000
0.904 0.596 0.000
0.189 0.689 0.500
0.689 0.811 0.500
0.811 0.311 0.500
0.311 0.189 0.500
0.500 0.500 0.000
0.000 0.000 0.000
```

Values from the calculation:
- volume (Å³ per cell) = 226.0
- crystal system = tetragonal
- E_form (meV per atom) = -17

Below is a geometry-optimized YV2Sn2 structure, with properties calculated at the PBE level.

```
YV2Sn2
1.0
8.094 0.000 0.000
0.000 8.094 0.000
0.000 0.000 3.077
V Y Sn
4 2 4
Direct
0.898 0.602 0.000
0.602 0.102 0.000
0.398 0.898 0.000
0.102 0.398 0.000
0.000 0.000 0.000
0.500 0.500 0.000
0.185 0.685 0.500
0.315 0.185 0.500
0.815 0.315 0.500
0.685 0.815 0.500
```

Values from the calculation:
- offset from the most stable computed form (eV/atom) = 0.1323
- volume (Å³ per cell) = 201.6
- crystal system = tetragonal
- E_form (meV per atom) = -25

Below is a geometry-optimized YV2Sn2 structure, with properties calculated at the PBE level.

```
YV2Sn2
1.0
-0.574 -1.035 -3.866
3.755 -1.490 -0.159
-0.610 -7.007 -0.148
Sn V Y
2 2 1
Direct
0.389 0.389 0.222
0.611 0.611 0.778
0.750 0.250 0.500
0.250 0.750 0.500
0.000 0.000 0.000
```

Values from the calculation:
- offset from the most stable computed form (eV/atom) = 0.0000
- volume (Å³ per cell) = 105.1
- crystal system = tetragonal
- E_form (meV per atom) = -157

Below is a geometry-optimized YZr2VSn structure, with properties calculated at the PBE level.

```
YZr2VSn
1.0
5.214 0.000 0.000
0.000 4.731 0.000
0.000 0.000 5.214
Zr V Sn Y
2 1 1 1
Direct
0.000 0.000 0.500
0.500 0.000 0.000
0.000 0.500 0.000
0.500 0.500 0.500
0.000 0.000 0.000
```

Values from the calculation:
- volume (Å³ per cell) = 128.6
- crystal system = tetragonal
- E_form (meV per atom) = 1351

Below is a geometry-optimized VZn2Sn structure, with properties calculated at the PBE level.

```
VZn2Sn
1.0
2.914 0.000 0.000
1.457 2.524 0.000
1.457 0.841 10.682
V Zn Sn
1 2 1
Direct
0.000 0.000 0.000
0.919 0.919 0.244
0.081 0.081 0.756
0.500 0.500 0.500
```

Values from the calculation:
- volume (Å³ per cell) = 78.6
- crystal system = trigonal
- E_form (meV per atom) = 636

Below is a geometry-optimized V2Zn2Sn structure, with properties calculated at the PBE level.

```
V2Zn2Sn
1.0
6.959 0.000 0.000
0.000 6.959 0.000
0.000 0.000 3.325
Zn V Sn
4 4 2
Direct
0.123 0.377 0.000
0.877 0.623 0.000
0.377 0.877 0.000
0.623 0.123 0.000
0.328 0.172 0.500
0.172 0.672 0.500
0.672 0.828 0.500
0.828 0.328 0.500
0.000 0.000 0.000
0.500 0.500 0.000
```

Values from the calculation:
- volume (Å³ per cell) = 161.0
- crystal system = tetragonal
- E_form (meV per atom) = 246

Below is a geometry-optimized V2ZnSn structure, with properties calculated at the PBE level.

```
V2ZnSn
1.0
3.379 0.000 0.000
0.000 3.379 0.000
0.000 0.000 5.574
V Zn Sn
2 1 1
Direct
0.000 0.000 0.790
0.000 0.000 0.210
0.500 0.500 0.000
0.500 0.500 0.500
```

Values from the calculation:
- volume (Å³ per cell) = 63.6
- crystal system = tetragonal
- E_form (meV per atom) = 198

Below is a geometry-optimized V2ZnSn structure, with properties calculated at the PBE level.

```
V2ZnSn
1.0
7.114 0.000 0.000
0.000 7.114 0.000
3.557 3.557 2.689
V Sn Zn
4 2 2
Direct
0.137 0.625 0.250
0.613 0.125 0.250
0.875 0.863 0.750
0.375 0.387 0.750
0.000 0.000 0.000
0.750 0.250 0.500
0.250 0.750 0.500
0.500 0.500 0.000
```

Values from the calculation:
- volume (Å³ per cell) = 136.1
- crystal system = tetragonal
- E_form (meV per atom) = 474

Below is a geometry-optimized VZnSn3 structure, with properties calculated at the PBE level.

```
VZnSn3
1.0
-1.961 3.969 -2.678
-4.783 -1.754 0.903
-0.215 2.818 4.334
Sn V Zn
3 1 1
Direct
0.000 0.000 0.500
0.000 0.500 0.000
0.500 0.000 0.000
0.500 0.500 0.500
0.000 0.000 0.000
```

Values from the calculation:
- offset from the most stable computed form (eV/atom) = 0.5285
- volume (Å³ per cell) = 138.5
- crystal system = cubic
- E_form (meV per atom) = 818